First-principles (PBE) data for a geometry-optimized CaGeHSe structure, as listed in the Alexandria database.

Cell: 3.7752 3.9488 5.6358 Å, 90.00 90.00 90.00°
Space group Pmm2 (No. 25)
Asymmetric unit:
Ca: 0.0000 0.0000 0.0000
Ge: 0.5000 0.5000 0.3050
H: 0.5000 0.0000 0.7694
Se: 0.5000 0.5000 0.7482

Computed properties:
Electronic total energy = -14.5 eV per cell
ρ = 3.81 g/cm3
Offset from the most stable computed form = 353 meV/atom
Total magnetic moment = 0.00 μB/f.u.



First-principles (PBE) data for a geometry-optimized Hf6MnSb structure, as listed in the Alexandria database.

Cell: 9.0499 9.0499 7.6133 Å, 90.00 90.00 120.00°
Space group R-3m (No. 166, hexagonal axes)
Asymmetric unit:
Hf: 0.0651 0.5326 0.3191
Mn: 0.0000 0.0000 0.5000
Sb: 0.0000 0.0000 0.0000

Computed properties:
Electronic total energy = -215.8 eV per cell
E_form (uncorrected) = 13 kJ/mol of atoms
ρ = 11.51 g/cm3
Total magnetic moment = 0.00 μB/f.u.



First-principles (PBE) data for a geometry-optimized CrIr structure, as listed in the Alexandria database.

Cell: 4.9944 4.9944 4.9944 Å, 90.00 90.00 90.00°
Space group Fm-3m (No. 225)
Asymmetric unit:
Cr: 0.0000 0.0000 0.0000
Ir: 0.0000 0.0000 0.5000

Computed properties:
Electronic total energy = -68.1 eV per cell
ρ = 13.02 g/cm3
Total magnetic moment = 2.01 μB/f.u.
Formation energy = 724.8 meV per atom



First-principles (PBE) data for a geometry-optimized BaNaN2O structure, as listed in the Alexandria database.

Cell: 5.3296 5.3296 4.8727 Å, 90.00 90.00 90.00°
Space group P4/mmm (No. 123)
Asymmetric unit:
Ba: 0.0000 0.0000 0.0000
Na: 0.5000 0.5000 0.5000
N: 0.0000 0.5000 0.0000
O: 0.0000 0.0000 0.5000

Computed properties:
Electronic total energy = -20.4 eV per cell
E_form (uncorrected) = 86 kJ/mol of atoms
ρ = 2.45 g/cm3
Total magnetic moment = 5.01 μB/f.u.



First-principles (PBE) data for a geometry-optimized SmScBe2 structure, as listed in the Alexandria database.

Cell: 3.3324 3.3324 6.6410 Å, 90.00 90.00 90.00°
Space group P4/mmm (No. 123)
Asymmetric unit:
Sm: 0.0000 0.0000 0.0000
Sc: 0.0000 0.0000 0.5000
Be: 0.5000 0.5000 0.3005

Computed properties:
Electronic total energy = -18.2 eV per cell
ρ = 4.80 g/cm3
Offset from the most stable computed form = 0 meV/atom
Total magnetic moment = 0.00 μB/f.u.
Formation energy = 70.3 meV per atom



First-principles (PBE) data for a geometry-optimized Mg5Mn2Pd12 structure, as listed in the Alexandria database.

Cell: 12.7222 7.4884 6.5036 Å, 90.00 90.11 90.00°
Space group C2/m (No. 12)
Asymmetric unit:
Mg: 0.0000 0.0000 0.0000
Mg: 0.1998 0.5000 0.5189
Mg: 0.2403 0.0000 0.9273
Mn: 0.0000 0.2946 0.5000
Pd: 0.0562 0.5000 0.1914
Pd: 0.0974 0.0000 0.6072
Pd: 0.1222 0.3020 0.8422
Pd: 0.1562 0.1866 0.2517

Computed properties:
Electronic total energy = -192.7 eV per cell
ρ = 8.09 g/cm3
Total magnetic moment = 8.80 μB/f.u.
Formation energy = -405.9 meV per atom